A.
A relaxed structure of CsSF6, computed with PBE.

a = 5.7248 Å, b = 5.7248 Å, c = 15.4766 Å
α = 90.00°, β = 90.00°, γ = 120.00°
Space group R-3m (No. 166, hexagonal axes)
Unique sites:
Cs 0.0000 0.0000 0.0000
S 0.0000 0.0000 0.5000
F 0.0459 0.5229 0.1018

M_tot   0.986 μB per formula unit


B.
A relaxed structure of CsSF6, computed with PBE.

a = 9.465 Å, b = 9.465 Å, c = 9.465 Å
α = 90.00°, β = 90.00°, γ = 90.00°
Space group Fm-3m (No. 225)
Unique sites:
Cs 0.000 0.000 0.000
S 0.000 0.000 0.500
F 0.000 0.000 0.316

M_tot   1.035 μB per formula unit


Which structure is the least stable? The one labeled B.


A.
A relaxed structure of CsSb3F, computed with PBE.

a = 6.274 Å, b = 6.274 Å, c = 6.274 Å
α = 90.00°, β = 90.00°, γ = 90.00°
Space group Pm-3m (No. 221)
Unique sites:
Cs 0.000 0.000 0.000
Sb 0.000 0.000 0.500
F 0.500 0.500 0.500

M_tot   0.000 μB per formula unit


B.
A relaxed structure of CsSb3F, computed with PBE.

a = 5.245 Å, b = 5.245 Å, c = 5.245 Å
α = 90.00°, β = 90.00°, γ = 90.00°
Space group Pm-3m (No. 221)
Unique sites:
Cs 0.000 0.000 0.000
Sb 0.000 0.500 0.500
F 0.500 0.500 0.500

M_tot   0.000 μB per formula unit


Which structure is the least stable? The one labeled A.


A.
A relaxed structure of Cs2SbF5, computed with PBE.

a = 6.782 Å, b = 15.120 Å, c = 7.189 Å
α = 90.00°, β = 90.00°, γ = 90.00°
Space group Cmcm (No. 63)
Unique sites:
Cs 0.000 0.064 0.250
Cs 0.000 0.256 0.750
Sb 0.000 0.405 0.250
F 0.000 0.273 0.250
F 0.222 0.383 0.047

M_tot   0.000 μB per formula unit


B.
A relaxed structure of Cs2SbF5, computed with PBE.

a = 6.876 Å, b = 6.876 Å, c = 8.570 Å
α = 90.00°, β = 90.00°, γ = 90.00°
Space group I4mm (No. 107)
Unique sites:
Cs 0.000 0.500 0.000
Sb 0.000 0.000 0.270
F 0.000 0.000 0.041
F 0.214 0.214 0.234

M_tot   0.000 μB per formula unit


C.
A relaxed structure of Cs2SbF5, computed with PBE.

a = 8.784 Å, b = 6.651 Å, c = 12.756 Å
α = 90.00°, β = 90.00°, γ = 90.00°
Space group Pnma (No. 62)
Unique sites:
Cs 0.007 0.250 0.223
Cs 0.144 0.250 0.571
Sb 0.172 0.250 0.936
F 0.000 0.000 0.000
F 0.050 0.250 0.797
F 0.150 0.750 0.572
F 0.197 0.524 0.368

M_tot   0.000 μB per formula unit


Which structure is the least stable? The one labeled C.


A.
A relaxed structure of CsSc3F, computed with PBE.

a = 5.360 Å, b = 5.360 Å, c = 5.360 Å
α = 90.00°, β = 90.00°, γ = 90.00°
Space group Pm-3m (No. 221)
Unique sites:
Cs 0.000 0.000 0.000
Sc 0.000 0.000 0.500
F 0.500 0.500 0.500

M_tot   0.000 μB per formula unit


B.
A relaxed structure of CsSc3F, computed with PBE.

a = 4.989 Å, b = 4.989 Å, c = 4.989 Å
α = 90.00°, β = 90.00°, γ = 90.00°
Space group Pm-3m (No. 221)
Unique sites:
Cs 0.000 0.000 0.000
Sc 0.000 0.500 0.500
F 0.500 0.500 0.500

M_tot   0.000 μB per formula unit


Which structure is the least stable? The one labeled A.


A.
A relaxed structure of CsScF2, computed with PBE.

a = 3.8127 Å, b = 3.8127 Å, c = 21.8235 Å
α = 90.00°, β = 90.00°, γ = 120.00°
Space group R-3m (No. 166, hexagonal axes)
Unique sites:
Cs 0.0000 0.0000 0.0000
Sc 0.0000 0.0000 0.5000
F 0.0000 0.0000 0.1413

M_tot   0.000 μB per formula unit


B.
A relaxed structure of CsScF2, computed with PBE.

a = 6.825 Å, b = 6.825 Å, c = 6.825 Å
α = 90.00°, β = 90.00°, γ = 90.00°
Space group Fm-3m (No. 225)
Unique sites:
Cs 0.000 0.000 0.000
Sc 0.000 0.000 0.500
F 0.250 0.250 0.250

M_tot   1.951 μB per formula unit


C.
A relaxed structure of CsScF2, computed with PBE.

a = 4.0127 Å, b = 4.0127 Å, c = 22.7243 Å
α = 90.00°, β = 90.00°, γ = 120.00°
Space group R-3m (No. 166, hexagonal axes)
Unique sites:
Cs 0.0000 0.0000 0.0000
Sc 0.0000 0.0000 0.5000
F 0.0000 0.0000 0.4126

M_tot   0.000 μB per formula unit


Which structure is the least stable? The one labeled B.


A.
A relaxed structure of CsSeF4, computed with PBE.

a = 7.623 Å, b = 7.623 Å, c = 5.863 Å
α = 90.00°, β = 90.00°, γ = 90.00°
Space group I-4m2 (No. 119)
Unique sites:
Cs 0.000 0.000 0.000
Se 0.000 0.500 0.250
F 0.179 0.321 0.250

M_tot   1.000 μB per formula unit


B.
A relaxed structure of CsSeF4, computed with PBE.

a = 4.852 Å, b = 15.362 Å, c = 6.442 Å
α = 90.00°, β = 90.00°, γ = 90.00°
Space group Cmcm (No. 63)
Unique sites:
Cs 0.000 0.120 0.250
Se 0.000 0.404 0.250
F 0.000 0.092 0.750
F 0.000 0.319 0.048
F 0.000 0.500 0.000

M_tot   0.000 μB per formula unit


Which structure is the least stable? The one labeled B.